The following is a PBE-GGA calculation of a geometry-optimized RbBe2H6 structure, from Alexandria via LeMat-Bulk.

a b c (Å): 10.124 3.893 7.147
angles (deg): 90.00 126.44 90.00
Space group C2/m (No. 12)
Inequivalent atoms, fractional coordinates:
Rb  0.000  0.000  0.000 [2 per cell]
Be  0.106  0.000  0.621 [4 per cell]
H  0.031  0.250  0.406 [8 per cell]
H  0.238  0.500  0.181 [4 per cell]

Properties
Its crystal system is monoclinic.

The following is a PBE-GGA calculation of a geometry-optimized RbBe2H structure, from Alexandria via LeMat-Bulk.

a b c (Å): 4.310 4.310 10.435
angles (deg): 88.00 87.64 60.93
Space group P1 (No. 1)
Inequivalent atoms, fractional coordinates:
Rb  0.000  0.000  0.000 [1 per cell]
Rb  0.346  0.364  0.584 [1 per cell]
Be  0.415  0.929  0.292 [1 per cell]
Be  0.417  0.426  0.268 [1 per cell]
Be  0.917  0.928  0.316 [1 per cell]
Be  0.919  0.425  0.292 [1 per cell]
H  0.605  0.612  0.195 [1 per cell]
H  0.730  0.743  0.390 [1 per cell]

Properties
Its crystal system is triclinic.

The following is a PBE-GGA calculation of a geometry-optimized RbBeH structure, from Alexandria via LeMat-Bulk.

a b c (Å): 3.574 3.574 5.332
angles (deg): 90.00 90.00 90.00
Space group P4mm (No. 99)
Inequivalent atoms, fractional coordinates:
Rb  0.000  0.000  0.000 [1 per cell]
Be  0.500  0.500  0.514 [1 per cell]
H  0.500  0.500  0.781 [1 per cell]

Properties
Its crystal system is tetragonal.

The following is a PBE-GGA calculation of a geometry-optimized RbBe2H6 structure, from Alexandria via LeMat-Bulk.

a b c (Å): 3.152 4.512 6.211
angles (deg): 104.80 90.12 90.06
Space group P-1 (No. 2)
Inequivalent atoms, fractional coordinates:
Rb  0.000  0.000  0.000 [1 per cell]
Be  0.499  0.405  0.635 [2 per cell]
H  0.001  0.657  0.317 [2 per cell]
H  0.499  0.458  0.913 [2 per cell]
H  0.500  0.275  0.388 [2 per cell]

Properties
Its crystal system is triclinic.

We obtain final energy values of -3.036; -2.785; -2.118; -3.097 eV per atom for the records listed above, in that order.
We obtain N(E_F) values of 2.85; 1.89; 1.19; 0.53 states/eV per cell for the records listed above, in that order.
We obtain distance to the lowest polymorph of the same formula values of 75; 41; 430; 14 meV/atom for the records listed above, in that order.